Crystalline Ti2CrAgB at its relaxed geometry, computed with GGA-PBE.

Computed properties:
* magnetic moment: 1.3 μB per formula unit
* theoretical density: 5.994 Mg/m³
* energy of formation: 0.01 eV/atom
* calculated total energy: -6.9771 eV/atom
* symmetry: No. 123

abc: 4.3032 3.9858 4.3032
angles: 90.00 90.00 90.00
Closest atoms and distances in Å follow each position.
Element x y z (fractional)
Ti (0.0000, 0.0000, 0.5000)  2 B 2.15
Ti (0.5000, 0.0000, 0.0000)  2 B 2.15
B (0.0000, 0.0000, 0.0000)  2 Cr 1.99, 4 Ti 2.15
Ag (0.5000, 0.5000, 0.5000)  8 Ti 2.93, 4 Cr 3.04
Cr (0.0000, 0.5000, 0.0000)  2 B 1.99



Crystalline DyTm8Pb6 at its relaxed geometry, computed with GGA-PBE.

Computed properties:
* magnetic moment: 0.0 μB per formula unit
* theoretical density: 9.914 Mg/m³
* energy of formation: -0.29 eV/atom
* calculated total energy: -4.4680 eV/atom
* symmetry: No. 148

abc: 9.0226 9.0226 8.3690
angles: 57.38 57.38 60.00
Closest atoms and distances in Å follow each position.
Element x y z (fractional)
Tm (0.7729, 0.1056, 0.6837)  5 Pb 3.09-3.43
Tm (0.8944, 0.5621, 0.3163)  5 Pb 3.09-3.43
Tm (0.4379, 0.7729, 0.6837)  5 Pb 3.09-3.43
Tm (0.2271, 0.8944, 0.3163)  5 Pb 3.09-3.43
Tm (0.5621, 0.2271, 0.3163)  5 Pb 3.09-3.43
Tm (0.1056, 0.4379, 0.6837)  5 Pb 3.09-3.43
Tm (0.6667, 0.6667, 0.9998)  6 Pb 3.29, 6 Tm 3.66
Tm (0.3333, 0.3333, 0.0002)  6 Pb 3.29, 6 Tm 3.66
Pb (0.2659, 0.5961, 0.2069)  7 Tm 3.09-3.43, 1 Dy 3.31
Pb (0.4039, 0.0689, 0.7931)  7 Tm 3.09-3.43, 1 Dy 3.31
Pb (0.5961, 0.9311, 0.2069)  7 Tm 3.09-3.43, 1 Dy 3.31
Pb (0.7341, 0.4039, 0.7931)  7 Tm 3.09-3.43, 1 Dy 3.31
Pb (0.0689, 0.7341, 0.7931)  7 Tm 3.09-3.43, 1 Dy 3.31
Pb (0.9311, 0.2659, 0.2069)  7 Tm 3.09-3.43, 1 Dy 3.31
Dy (0.0000, 0.0000, 0.0000)  6 Pb 3.31, 6 Tm 3.65



Crystalline Ba2Sr6Li at its relaxed geometry, computed with GGA-PBE.

Computed properties:
* magnetic moment: 0.0 μB per formula unit
* theoretical density: 2.786 Mg/m³
* energy of formation: 0.04 eV/atom
* energy relative to the lowest polymorph listed for this composition: 0 meV/atom
* calculated total energy: -1.7185 eV/atom
* symmetry: No. 38

abc: 4.3113 11.3531 11.3532
angles: 120.00 90.00 90.00
Closest atoms and distances in Å follow each position.
Element x y z (fractional)
Sr (0.0000, 0.2680, 0.0000)  2 Li 3.72
Sr (0.0000, 0.7325, 0.7327)  2 Li 3.73
Sr (0.5000, 0.3623, 0.3622)  1 Li 4.11, 4 Ba 4.22, 6 Sr 4.28-4.31
Sr (0.0000, 0.9997, 0.2673)  2 Li 3.73
Sr (0.5000, 0.6370, 0.0000)  1 Li 4.13, 4 Ba 4.22, 6 Sr 4.28-4.31
Sr (0.5000, 0.0001, 0.6378)  1 Li 4.11, 4 Ba 4.22, 6 Sr 4.28-4.31
Ba (0.0000, 0.6668, 0.3337)  9 Sr 4.21-4.22, 2 Ba 4.31
Ba (0.0000, 0.3331, 0.6663)  9 Sr 4.21-4.22, 2 Ba 4.31
Li (0.5000, 0.0005, 0.0000)  9 Sr 3.72-4.13



Crystalline Li2AgOsC at its relaxed geometry, computed with GGA-PBE.

Computed properties:
* magnetic moment: 0.0 μB per formula unit
* theoretical density: 6.019 Mg/m³
* energy of formation: 0.84 eV/atom
* calculated total energy: -4.5873 eV/atom
* symmetry: No. 123

abc: 4.8470 3.8045 4.8470
angles: 90.00 90.00 90.00
Closest atoms and distances in Å follow each position.
Element x y z (fractional)
Os (0.0000, 0.0000, 0.0000)  2 C 1.90
C (0.0000, 0.5000, 0.0000)  2 Os 1.90
Ag (0.5000, 0.5000, 0.5000)  8 Li 3.08, 4 C 3.43
Li (0.0000, 0.0000, 0.5000)  2 Os 2.42
Li (0.5000, 0.0000, 0.0000)  2 Os 2.42



Crystalline ZnCuOs2 at its relaxed geometry, computed with GGA-PBE.

Computed properties:
* magnetic moment: 0.0 μB per formula unit
* theoretical density: 15.251 Mg/m³
* energy of formation: 0.31 eV/atom
* calculated total energy: -6.6441 eV/atom
* symmetry: No. 12

abc: 4.6335 4.6335 4.7384
angles: 80.56 80.56 33.60
Closest atoms and distances in Å follow each position.
Element x y z (fractional)
Cu (0.2500, 0.2500, 0.2500)  2 Cu 2.68, 6 Os 2.68-2.69, 4 Zn 2.72
Zn (0.7500, 0.7500, 0.7500)  2 Zn 2.68, 6 Os 2.69, 4 Cu 2.72
Os (0.9995, 0.9995, 0.0011)  6 Os 2.68-2.73, 3 Cu 2.68-2.69, 3 Zn 2.69
Os (0.5005, 0.5005, 0.4989)  6 Os 2.68-2.73, 3 Cu 2.68-2.69, 3 Zn 2.69



Crystalline KUSe4 at its relaxed geometry, computed with GGA-PBE.

Computed properties:
* magnetic moment: 1.0 μB per formula unit
* theoretical density: 4.822 Mg/m³
* energy relative to the lowest polymorph listed for this composition: 0 meV/atom
* calculated total energy: -5.3084 eV/atom
* symmetry: No. 12

abc: 7.5234 7.4906 8.1708
angles: 117.28 93.28 90.00
Closest atoms and distances in Å follow each position.
Element x y z (fractional)
Se (0.0000, 0.2573, 0.0000)  2 U 2.75
Se (0.2388, 0.7195, 0.4390)  1 U 2.61
Se (0.4610, 0.1656, 0.8379)  1 Se 2.39
Se (0.4610, 0.6722, 0.8379)  1 Se 2.39
Se (0.0000, 0.7427, 0.0000)  2 U 2.75
Se (0.5390, 0.8344, 0.1621)  1 Se 2.39
Se (0.5390, 0.3278, 0.1621)  1 Se 2.39
Se (0.7612, 0.2805, 0.5610)  1 U 2.61
U (0.7330, 0.4590, 0.9180)  5 Se 2.61-2.82
U (0.2670, 0.5410, 0.0820)  5 Se 2.61-2.82
K (0.1623, 0.1870, 0.3739)  5 Se 3.39-3.79
K (0.8377, 0.8130, 0.6261)  5 Se 3.39-3.79



Crystalline NdPu2Ge at its relaxed geometry, computed with GGA-PBE.

Computed properties:
* magnetic moment: 13.5 μB per formula unit
* theoretical density: 11.521 Mg/m³
* energy of formation: 0.05 eV/atom
* energy relative to the lowest polymorph listed for this composition: 306 meV/atom
* calculated total energy: -9.4618 eV/atom
* symmetry: No. 225

abc: 5.2381 5.2381 5.2372
angles: 59.99 59.99 60.00
Closest atoms and distances in Å follow each position.
Element x y z (fractional)
Nd (0.5000, 0.5000, 0.5000)  8 Pu 3.21
Pu (0.2499, 0.2499, 0.2502)  4 Ge 3.21, 4 Nd 3.21
Pu (0.7501, 0.7501, 0.7498)  4 Ge 3.21, 4 Nd 3.21
Ge (0.0000, 0.0000, 0.0000)  8 Pu 3.21



Crystalline ScReIr2 at its relaxed geometry, computed with GGA-PBE.

Computed properties:
* magnetic moment: 0.0 μB per formula unit
* theoretical density: 16.323 Mg/m³
* energy of formation: -0.37 eV/atom
* energy relative to the lowest polymorph listed for this composition: 84 meV/atom
* calculated total energy: -9.4971 eV/atom
* symmetry: No. 10

abc: 3.8586 2.8328 6.3732
angles: 64.02 90.00 90.00
Closest atoms and distances in Å follow each position.
Element x y z (fractional)
Re (0.5000, 0.2500, 0.2500)  8 Ir 2.74-2.76, 2 Re 2.83, 2 Sc 2.86
Ir (0.0000, 0.5129, 0.4857)  3 Ir 2.70-2.83, 4 Re 2.74-2.76, 4 Sc 2.83-2.84
Ir (0.0000, 0.9871, 0.0143)  3 Ir 2.70-2.83, 4 Re 2.74-2.76, 4 Sc 2.83-2.84
Sc (0.5000, 0.7500, 0.7500)  8 Ir 2.83-2.84, 2 Sc 2.83, 2 Re 2.86



Crystalline BeFeSe at its relaxed geometry, computed with GGA-PBE.

Computed properties:
* magnetic moment: 0.4 μB per formula unit
* theoretical density: 5.294 Mg/m³
* energy relative to the lowest polymorph listed for this composition: 113 meV/atom
* calculated total energy: -4.9848 eV/atom
* symmetry: No. 107

abc: 6.0872 6.0872 2.7995
angles: 76.71 76.71 26.59
Closest atoms and distances in Å follow each position.
Element x y z (fractional)
Be (0.9427, 0.9427, 0.0573)  4 Fe 2.32, 1 Se 2.58
Fe (0.3384, 0.3384, 0.6616)  4 Be 2.32, 4 Se 2.41
Se (0.7189, 0.7189, 0.2811)  4 Fe 2.41, 1 Be 2.58



Crystalline V2SbPt at its relaxed geometry, computed with GGA-PBE.

Computed properties:
* magnetic moment: 0.0 μB per formula unit
* theoretical density: 10.982 Mg/m³
* calculated total energy: -7.3077 eV/atom
* symmetry: No. 123

abc: 4.2315 3.8682 3.8682
angles: 90.00 90.00 90.00
Closest atoms and distances in Å follow each position.
Element x y z (fractional)
V (0.0000, 0.0000, 0.5000)  4 V 2.74, 4 Sb 2.87, 4 Pt 2.87
V (0.0000, 0.5000, 0.0000)  4 V 2.74, 4 Sb 2.87, 4 Pt 2.87
Pt (0.5000, 0.0000, 0.0000)  4 Sb 2.74, 8 V 2.87
Sb (0.5000, 0.5000, 0.5000)  4 Pt 2.74, 8 V 2.87



Crystalline La6BiTe3As2 at its relaxed geometry, computed with GGA-PBE.

Computed properties:
* magnetic moment: 0.0 μB per formula unit
* theoretical density: 6.601 Mg/m³
* calculated total energy: -5.8839 eV/atom
* symmetry: No. 12

abc: 4.5094 9.1273 10.1687
angles: 103.50 102.81 90.00
Closest atoms and distances in Å follow each position.
Element x y z (fractional)
La (0.6733, 0.5695, 0.3466)  3 As 3.05-3.09, 3 Te 3.34
La (0.0097, 0.2563, 0.0195)  1 As 3.05, 3 Te 3.21-3.32, 2 Bi 3.22
La (0.3267, 0.4305, 0.6534)  3 As 3.05-3.09, 3 Te 3.34
La (0.9903, 0.7437, 0.9805)  1 As 3.05, 3 Te 3.21-3.32, 2 Bi 3.22
La (0.6696, 0.1068, 0.3392)  2 As 3.08, 3 Te 3.24-3.34, 1 Bi 3.27
La (0.3304, 0.8932, 0.6608)  2 As 3.08, 3 Te 3.24-3.34, 1 Bi 3.27
Bi (0.5000, 0.0000, 0.0000)  6 La 3.22-3.27
Te (0.1628, 0.8331, 0.3255)  6 La 3.24-3.34
Te (0.5000, 0.5000, 0.0000)  6 La 3.21-3.34
Te (0.8372, 0.1669, 0.6745)  6 La 3.24-3.34
As (0.8317, 0.6645, 0.6634)  6 La 3.05-3.09
As (0.1683, 0.3355, 0.3366)  6 La 3.05-3.09



Crystalline AsPd2Au at its relaxed geometry, computed with GGA-PBE.

Computed properties:
* magnetic moment: 0.0 μB per formula unit
* theoretical density: 12.085 Mg/m³
* energy of formation: -0.17 eV/atom
* calculated total energy: -4.7446 eV/atom
* symmetry: No. 160

abc: 3.0322 3.0322 8.5458
angles: 79.78 79.78 60.00
Closest atoms and distances in Å follow each position.
Element x y z (fractional)
Pd (0.2579, 0.2579, 0.2262)  3 As 2.58, 3 Au 2.89
Pd (0.0753, 0.0753, 0.7740)  3 As 2.57
As (0.6669, 0.6669, 0.9993)  6 Pd 2.57-2.58
Au (0.4998, 0.4998, 0.5005)  6 Pd 2.88-2.89, 6 Au 3.03



Crystalline BaCa2PPb at its relaxed geometry, computed with GGA-PBE.

Computed properties:
* magnetic moment: 0.0 μB per formula unit
* theoretical density: 4.056 Mg/m³
* energy of formation: -0.68 eV/atom
* calculated total energy: -3.6900 eV/atom
* symmetry: No. 123

abc: 5.4823 5.4823 6.2064
angles: 90.00 90.00 90.00
Closest atoms and distances in Å follow each position.
Element x y z (fractional)
Pb (0.5000, 0.5000, 0.5000)  4 Ba 3.88, 8 Ca 4.14
Ba (0.0000, 0.0000, 0.5000)  2 P 3.10
P (0.0000, 0.0000, 0.0000)  4 Ca 2.74
Ca (0.5000, 0.0000, 0.0000)  2 P 2.74
Ca (0.0000, 0.5000, 0.0000)  2 P 2.74